[1]
LaAl2GaCu at its PBEsol-relaxed geometry, computed with SCAN.

magnetic moment = 0.0 μB per formula unit
calculated volume = 32.95 Å³ per atom
formation energy = 1353 meV/atom

The structure in POSCAR format:
```
LaAl2GaCu
1.0
-1.701 4.213 -2.130
-5.390 -1.711 0.921
0.047 2.600 5.106
Al Cu Ga La
2 1 1 1
Direct
0.000 0.000 0.500 Al
0.000 0.500 0.000 Al
0.500 0.000 0.000 Cu
0.500 0.500 0.500 Ga
0.000 0.000 0.000 La
```



[2]
LiY2Ru at its PBEsol-relaxed geometry, computed with SCAN.

magnetic moment = 0.0 μB per formula unit
calculated volume = 22.95 Å³ per atom
formation energy = -292 meV/atom

The structure in POSCAR format:
```
LiY2Ru
1.0
3.374 0.025 0.000
-0.026 3.374 0.000
0.000 0.000 8.063
Y Ru Li
2 1 1
Direct
0.000 0.000 0.202 Y
0.000 0.000 0.798 Y
0.500 0.500 0.000 Ru
0.500 0.500 0.500 Li
```



[3]
Na2ZnH4Se2O10 at its PBEsol-relaxed geometry, computed with SCAN.

magnetic moment = 0.0 μB per formula unit
VASP energy = -8.5213 eV per atom
calculated volume = 10.78 Å³ per atom

The structure in POSCAR format:
```
Na2ZnH4Se2O10
1.0
-1.450 -0.154 5.383
-3.008 -4.258 -2.851
6.814 -2.062 0.673
Na Zn H Se O
2 1 4 2 10
Direct
0.344 0.725 0.247 Na
0.656 0.275 0.753 Na
0.000 0.000 0.000 Zn
0.856 0.868 0.606 H
0.144 0.132 0.394 H
0.081 0.155 0.703 H
0.919 0.845 0.297 H
0.326 0.659 0.760 Se
0.674 0.341 0.240 Se
0.077 0.656 0.868 O
0.923 0.344 0.132 O
0.599 0.770 0.952 O
0.401 0.230 0.048 O
0.345 0.819 0.610 O
0.655 0.181 0.390 O
0.278 0.350 0.630 O
0.722 0.650 0.370 O
0.928 0.035 0.730 O
0.072 0.965 0.270 O
```



[4]
SrNiSe2 at its PBEsol-relaxed geometry, computed with SCAN.

magnetic moment = 1.9 μB per formula unit
calculated volume = 22.88 Å³ per atom
formation energy without anion corrections = -19.9 kcal/mol of atoms

The structure in POSCAR format:
```
SrNiSe2
1.0
-1.112 -2.075 -2.957
-1.672 -2.447 2.346
-5.427 3.387 -0.336
Ni Se Sr
1 2 1
Direct
0.500 0.500 0.904 Ni
0.000 0.000 0.900 Se
0.500 0.500 0.262 Se
0.000 0.000 0.434 Sr
```



[5]
BaZrMo3 at its PBEsol-relaxed geometry, computed with SCAN.

magnetic moment = 0.0 μB per formula unit
calculated volume = 23.98 Å³ per atom
formation energy = 1875 meV/atom

The structure in POSCAR format:
```
BaZrMo3
1.0
-1.858 4.003 -2.201
1.702 -1.598 -4.344
-4.239 -2.396 -0.780
Mo Ba Zr
3 1 1
Direct
0.000 0.500 0.000 Mo
0.000 0.000 0.500 Mo
0.500 0.000 0.000 Mo
0.500 0.500 0.500 Ba
0.000 0.000 0.000 Zr
```



[6]
NiMo2Ru at its PBEsol-relaxed geometry, computed with SCAN.

magnetic moment = 0.0 μB per formula unit
calculated volume = 13.68 Å³ per atom
formation energy = 213 meV/atom

The structure in POSCAR format:
```
NiMo2Ru
1.0
-1.488 1.506 1.833
-3.654 -0.494 -2.562
0.465 -4.292 1.765
Mo Ni Ru
2 1 1
Direct
0.246 0.246 0.492 Mo
0.754 0.754 0.508 Mo
0.500 0.000 0.000 Ni
0.000 0.500 0.000 Ru
```



[7]
CrNi2Sb at its PBEsol-relaxed geometry, computed with SCAN.

magnetic moment = 3.3 μB per formula unit
calculated volume = 13.60 Å³ per atom
formation energy without anion corrections = 2.2 kcal/mol of atoms

The structure in POSCAR format:
```
CrNi2Sb
1.0
3.044 0.000 0.000
-1.522 4.090 -0.001
0.000 -1.006 4.368
Cr Ni Sb
1 2 1
Direct
0.500 0.000 0.000 Cr
0.755 0.510 0.778 Ni
0.245 0.490 0.222 Ni
0.000 0.000 0.500 Sb
```



[8]
KSCl2F at its PBEsol-relaxed geometry, computed with SCAN.

magnetic moment = 1.9 μB per formula unit
calculated volume = 22.68 Å³ per atom
formation energy without anion corrections = -14.6 kcal/mol of atoms

The structure in POSCAR format:
```
KSCl2F
1.0
-0.002 -3.131 1.751
4.891 -1.355 -2.419
2.773 2.386 4.269
K F S Cl
1 1 1 2
Direct
0.500 0.500 0.500 K
0.000 0.000 0.000 F
0.500 0.000 0.000 S
0.000 0.000 0.500 Cl
0.000 0.500 0.000 Cl
```



[9]
Li4Mn3Cr3Sb2O16 at its PBEsol-relaxed geometry, computed with SCAN.

magnetic moment = 21.0 μB per formula unit
calculated volume = 10.24 Å³ per atom
formation energy without anion corrections = -51.0 kcal/mol of atoms

The structure in POSCAR format:
```
Li4Mn3Cr3Sb2O16
1.0
-5.116 1.476 -2.368
2.865 -4.747 -1.978
-4.584 -5.233 6.641
Li Mn Cr Sb O
4 3 3 2 16
Direct
0.339 0.678 0.094 Li
0.001 0.001 0.011 Li
0.994 0.988 0.510 Li
0.664 0.328 0.598 Li
0.168 0.335 0.789 Mn
0.829 0.166 0.288 Mn
0.337 0.166 0.288 Mn
0.660 0.829 0.786 Cr
0.168 0.829 0.786 Cr
0.829 0.659 0.285 Cr
0.329 0.659 0.515 Sb
0.672 0.344 0.013 Sb
0.663 0.820 0.407 O
0.481 0.961 0.663 O
0.331 0.661 0.886 O
0.002 0.004 0.697 O
0.999 0.997 0.199 O
0.158 0.820 0.407 O
0.489 0.521 0.657 O
0.032 0.521 0.657 O
0.838 0.676 0.899 O
0.158 0.317 0.407 O
0.975 0.506 0.152 O
0.531 0.506 0.152 O
0.667 0.335 0.385 O
0.834 0.163 0.905 O
0.523 0.046 0.153 O
0.329 0.163 0.905 O
```



[10]
HgTeMo2 at its PBEsol-relaxed geometry, computed with SCAN.

magnetic moment = 0.0 μB per formula unit
calculated volume = 18.06 Å³ per atom
formation energy without anion corrections = 13.6 kcal/mol of atoms

The structure in POSCAR format:
```
HgTeMo2
1.0
3.091 0.000 0.000
1.545 2.677 0.000
1.545 0.892 8.731
Hg Mo Te
1 2 1
Direct
0.000 0.000 0.000 Hg
0.246 0.246 0.262 Mo
0.754 0.754 0.738 Mo
0.500 0.500 0.500 Te
```



[11]
NaGeSe2Br at its PBEsol-relaxed geometry, computed with SCAN.

magnetic moment = 0.0 μB per formula unit
calculated volume = 26.93 Å³ per atom
formation energy without anion corrections = -8.5 kcal/mol of atoms

The structure in POSCAR format:
```
NaGeSe2Br
1.0
-4.606 1.688 -0.410
-1.732 -4.551 0.722
-0.148 0.926 5.476
Na Ge Se Br
1 1 2 1
Direct
0.500 0.500 0.500 Na
0.000 0.000 0.000 Ge
0.000 0.500 0.000 Se
0.500 0.000 0.000 Se
0.000 0.000 0.500 Br
```



[12]
Ga2BiRuSe at its PBEsol-relaxed geometry, computed with SCAN.

magnetic moment = 0.0 μB per formula unit
calculated volume = 23.06 Å³ per atom
formation energy without anion corrections = -0.2 kcal/mol of atoms

The structure in POSCAR format:
```
Ga2BiRuSe
1.0
-3.497 -2.981 -1.079
2.746 -2.045 -3.250
1.737 -3.326 3.561
Ru Ga Bi Se
1 2 1 1
Direct
0.000 0.000 0.000 Ru
0.000 0.500 0.000 Ga
0.500 0.000 0.000 Ga
0.000 0.000 0.500 Bi
0.500 0.500 0.500 Se
```



Q: Which value of calculated volume does entry 6 give?
A: 13.68 Å³ per atom